CoMoSe2N | the Alexandria database | GGA-PBE | optimized geometry; space-group type = P4/mmm; ΔE_f (raw) = 0.58 eV/atom; excess energy over the best structure of this formula in the dataset = 0 meV/atom
1.0
4.881 0.000 0.000
0.000 4.881 0.000
0.000 0.000 3.366
Mo Co N Se
1 1 1 2
Direct
0.500 0.500 0.500
0.000 0.000 0.000
0.000 0.000 0.500
0.000 0.500 0.000
0.500 0.000 0.000